Arrangement i

GGA-PBE CsHgAu, optimized geometry; ρ = 7.08 g/cm³; magnetization = 0.0 μB per formula unit
1.0
7.5012 0.0000 -0.2382
0.0000 6.0380 0.0000
-3.6550 -3.0190 5.6133
Cs Hg Au
2 2 2
direct
0.3148 0.8157 0.6313
0.6852 0.1843 0.3687
0.0000 0.7593 0.0000
0.0000 0.2407 0.0000
0.3204 0.4991 0.9982
0.6796 0.5009 0.0018


Arrangement ii

GGA-PBE CsHgAu, optimized geometry; ρ = 6.78 g/cm³; magnetization = 0.0 μB per formula unit
1.0
-0.3322 3.1442 4.7255
-4.5554 3.2753 0.9209
-3.7155 -1.3790 4.0768
Cs Au Hg
1 1 1
direct
0.0000 0.0000 0.0000
0.2500 0.2500 0.2500
0.5000 0.5000 0.5000


Arrangement iii

GGA-PBE CsHgAu, optimized geometry; ρ = 7.41 g/cm³; magnetization = 0.0 μB per formula unit
1.0
7.8045 0.0000 0.0000
0.0000 7.8045 0.0000
0.0000 0.0000 7.8045
Cs Hg Au
4 4 4
direct
0.0867 0.0867 0.0867
0.5867 0.4133 0.9133
0.4133 0.9133 0.5867
0.9133 0.5867 0.4133
0.4215 0.4215 0.4215
0.0785 0.5785 0.9215
0.9215 0.0785 0.5785
0.5785 0.9215 0.0785
0.3205 0.6795 0.1795
0.1795 0.3205 0.6795
0.6795 0.1795 0.3205
0.8205 0.8205 0.8205


Which of them is the least stable? Correct choice: arrangement ii.


Arrangement i

GGA-PBE CsHg4Au2, optimized geometry; ρ = 11.18 g/cm³; magnetization = 0.0 μB per formula unit
1.0
4.5900 0.0000 0.0000
0.0000 9.2761 0.0000
0.0000 0.0000 9.2761
Cs Au Hg
2 4 8
direct
0.5000 0.0000 0.0000
0.0000 0.5000 0.5000
0.0000 0.2261 0.7739
0.0000 0.7739 0.2261
0.5000 0.7261 0.7261
0.5000 0.2739 0.2739
0.0000 0.0790 0.3324
0.0000 0.9210 0.6676
0.5000 0.1676 0.5790
0.5000 0.8324 0.4210
0.5000 0.4210 0.8324
0.5000 0.5790 0.1676
0.0000 0.3324 0.0790
0.0000 0.6676 0.9210


Arrangement ii

GGA-PBE CsHg4Au2, optimized geometry; ρ = 10.58 g/cm³; magnetization = 0.0 μB per formula unit
1.0
5.1450 0.0000 0.0000
0.0000 5.2116 0.0000
0.0000 -2.6058 7.7790
Cs Hg Au
1 4 2
direct
0.0000 0.0000 0.0000
0.5000 0.8201 0.6403
0.0000 0.6848 0.3695
0.5000 0.1799 0.3597
0.0000 0.3152 0.6305
0.5000 0.5883 0.1766
0.5000 0.4117 0.8234


Which of them is the least stable? Correct choice: arrangement i.